Computed, not measured: an optimized crystal structure of BaVCuF6 at the PBE with a Hubbard U level of DFT.

It has space group P312 (No. 149), with a = 5.6294 Å, b = 5.6294 Å, c = 5.5192 Å, α = 90.00°, β = 90.00° and γ = 120.00°. The asymmetric unit holds Ba at (0.0000, 0.0000, 0.0000), V at (0.3333, 0.6667, 0.5000), Cu at (0.6667, 0.3333, 0.5000) and F at (0.0340, 0.3849, 0.7062).

The total moment is 1.950 μB per formula unit. As for the mass density: 4010 kg/m3. The calculation puts the total energy at -5.51 eV/atom.